Record 1
TcHg2Ir | PBE | optimized geometry

## Properties
SG: P2/m, No. 10

POSCAR file:
```
TcHg2Ir
1.0
-3.3772 -3.4081 -0.7128
2.0544 -2.0344 -0.0066
-0.4471 -0.6050 5.0113
Hg Tc Ir
2 1 1
direct
0.0000 0.4837 0.5002
0.0000 0.0163 0.9998
0.5000 0.7500 0.7500
0.5000 0.2500 0.2500
```

---

Record 2
TcHg2Ir | PBE | optimized geometry

## Properties
SG: I4/mmm, No. 139

POSCAR file:
```
TcHg2Ir
1.0
5.0303 -0.0205 0.0000
1.5329 4.7911 0.0000
-3.2816 -2.3853 2.9742
Tc Ir Hg
1 1 2
direct
0.7500 0.2500 0.5000
0.2500 0.7500 0.5000
0.0000 0.0000 0.0000
0.5000 0.5000 0.0000
```

---

Record 3
TcHgIr2 | PBE | optimized geometry

## Properties
SG: P4mm, No. 99

POSCAR file:
```
TcHgIr2
1.0
-0.6398 2.6223 0.7396
-2.5356 -0.2950 -1.1474
-2.9022 -2.7136 7.1108
Hg Ir Tc
1 2 1
direct
0.5000 0.5000 0.7495
0.5000 0.5000 0.2555
0.0000 0.0000 0.0199
0.0000 0.0000 0.4751
```

---

Record 4
TcHg2Ir | PBE | optimized geometry

## Properties
SG: Fm-3m, No. 225

POSCAR file:
```
TcHg2Ir
1.0
0.0000 3.2876 3.2876
3.2876 0.0000 3.2876
3.2876 3.2876 0.0000
Hg Tc Ir
2 1 1
direct
0.2500 0.2500 0.2500
0.7500 0.7500 0.7500
0.0000 0.0000 0.0000
0.5000 0.5000 0.5000
```

---

| no. | Fermi-level density of states (states/eV/cell) | energy relative to the elements (meV per atom) |
| --- | --- | --- |
| 1 | 3.645 | 660.8 |
| 2 | 2.314 | 706.2 |
| 3 | 3.518 | 283.6 |
| 4 | 1.694 | 728.1 |